A relaxed structure of SmBeOs, computed with PBE.

## Properties
Final energy ... -5.98 eV/atom
Distance to the lowest polymorph of the same formula ... 0.278 eV per atom
Crystal system ... cubic

Structure (extended XYZ):
```
3
Lattice="0.0000 3.1284 3.1284 3.1284 0.0000 3.1284 3.1284 3.1284 0.0000" Properties=species:S:1:pos:R:3 pbc="T T T"
Os 0.0000 0.0000 0.0000
Be 1.5642 1.5642 1.5642
Sm 4.6925 4.6925 4.6925
```

A relaxed structure of Li2Sc2In2CuAg, computed with PBE.

## Properties
Final energy ... -3.91 eV/atom
Crystal system ... tetragonal

Structure (extended XYZ):
```
8
Lattice="4.6280 0.0000 0.0000 0.0000 4.6280 0.0000 0.0000 0.0000 6.6033" Properties=species:S:1:pos:R:3 pbc="T T T"
Cu 2.3140 2.3140 3.3017
Sc 0.0000 2.3140 1.7217
Sc 2.3140 0.0000 4.8816
In 0.0000 2.3140 4.8905
In 2.3140 0.0000 1.7128
Ag 0.0000 0.0000 0.0000
Li 2.3140 2.3140 0.0000
Li 0.0000 0.0000 3.3017
```

A relaxed structure of GdHoPu, computed with PBE.

## Properties
Final energy ... -6.96 eV/atom
Calculated formation energy ... 0.83 eV per atom
Distance to the lowest polymorph of the same formula ... 0.000 eV per atom
Crystal system ... cubic

Structure (extended XYZ):
```
3
Lattice="2.1191 -2.6518 -3.9070 3.0749 -4.0450 0.9851 -1.6234 -4.8010 -1.0500" Properties=species:S:1:pos:R:3 pbc="T T T"
Ho 0.0000 0.0000 0.0000
Pu 0.8927 -2.8744 -0.9930
Gd 1.7853 -5.7488 -1.9860
```

A relaxed structure of Ta11W4, computed with PBE.

## Properties
Final energy ... -12.10 eV/atom
Calculated formation energy ... 0.04 eV per atom
Crystal system ... tetragonal

Structure (extended XYZ):
```
30
Lattice="-5.1118 -7.3192 -4.7200 -3.5098 -3.2775 8.8836 -4.1844 3.2219 -0.4645" Properties=species:S:1:pos:R:3 pbc="T T T"
Ta -9.0117 -4.8081 2.4898
Ta -6.9251 -6.4148 2.7214
Ta -3.6785 -0.5445 -0.8929
Ta -9.1274 -6.8303 4.5921
Ta -3.1900 -3.5776 3.9208
Ta -5.8808 -0.9600 0.9778
Ta -3.3605 0.2577 1.8071
Ta -6.9417 -1.5928 6.0649
Ta -7.9620 -4.1667 -2.5986
Ta -6.5760 -4.1240 0.3801
Ta -0.9313 -1.1447 0.4498
Ta -7.6902 -9.4520 3.7138
Ta -4.9012 -5.6808 4.7472
Ta -4.8440 -3.2081 6.2977
Ta -2.0922 1.6110 -0.2322
Ta -5.8642 -5.7820 -2.3657
Ta -6.2299 -3.2508 3.3191
Ta -3.7942 -2.5666 1.2094
Ta -3.7204 -4.9159 -0.5835
Ta -9.4454 -7.6324 1.8921
Ta -4.3108 -5.2983 2.0818
Ta -5.4316 -7.0191 0.2429
W -6.5891 -7.7480 5.6140
W -2.0325 -2.8487 -1.4504
W -5.2719 -2.7207 -1.6341
W -8.1886 -6.3056 -0.2255
W -1.4905 -1.4814 3.1517
W -7.1311 -9.1153 1.0119
W -7.5340 -4.6541 5.3332
W -4.6173 -1.0692 3.9246
```

A relaxed structure of Sc2CdTc, computed with PBE.

## Properties
Final energy ... -6.20 eV/atom
Calculated formation energy ... -0.22 eV per atom
Crystal system ... orthorhombic

Structure (extended XYZ):
```
16
Lattice="6.7025 0.0000 0.0000 0.0000 4.7580 0.0000 0.0000 0.0000 9.5181" Properties=species:S:1:pos:R:3 pbc="T T T"
Tc 5.0270 3.5685 8.3295
Tc 1.6755 1.1895 5.9481
Tc 5.0270 3.5685 3.5700
Tc 1.6755 1.1895 1.1886
Sc 0.0000 1.1895 3.5673
Sc 3.3513 3.5685 5.9509
Sc 0.0000 1.1895 8.3263
Sc 3.3515 3.5685 1.1918
Sc 3.3509 1.1895 8.3264
Sc 3.3512 1.1895 3.5672
Sc 0.0000 3.5685 5.9509
Sc 0.0000 3.5685 1.1918
Cd 5.0269 1.1895 1.1867
Cd 5.0268 1.1895 5.9459
Cd 1.6755 3.5685 8.3315
Cd 1.6756 3.5685 3.5722
```

A relaxed structure of KNiAgTe2Se, computed with PBE.

## Properties
Final energy ... -3.46 eV/atom
Crystal system ... orthorhombic

Structure (extended XYZ):
```
12
Lattice="3.5149 5.2808 -4.6532 -6.4072 -2.9759 3.4621 1.6110 6.4100 8.4913" Properties=species:S:1:pos:R:3 pbc="T T T"
Te -4.5022 1.0797 6.6841
Te 3.9856 10.6776 4.6463
Te -5.2669 -1.9627 2.6538
Te 3.2209 7.6352 0.6161
Ag -5.4992 -0.9530 5.1717
Ag 4.2180 9.6679 2.1284
K 1.3994 4.7877 -0.4708
K -2.6807 3.9272 7.7709
Se -1.7155 2.1957 2.0769
Se 0.4342 6.5192 5.2232
Ni -1.4462 1.1525 -0.5956
Ni -0.6406 4.3575 3.6501
```

A relaxed structure of Tb2ErIn3Fe2Cu, computed with PBE.

## Properties
Final energy ... -4.93 eV/atom
Crystal system ... orthorhombic

Structure (extended XYZ):
```
9
Lattice="-1.8743 3.1106 -1.4791 -6.3225 -3.8994 -0.1884 1.7503 3.9343 6.0558" Properties=species:S:1:pos:R:3 pbc="T T T"
Er -2.6998 0.0206 3.4646
Tb -2.5968 -1.6011 -0.0765
Tb 0.7180 1.6155 2.4875
In -5.9519 0.5813 3.5669
In -2.1205 1.5643 0.7790
In -3.8819 2.5900 5.1681
Fe -1.8857 2.8704 3.2280
Fe -4.5602 0.2751 1.1593
Cu -4.5681 0.0349 5.8620
```

A relaxed structure of PrErZn2Ge2, computed with PBE.

## Properties
Final energy ... -4.20 eV/atom
Distance to the lowest polymorph of the same formula ... 0.000 eV per atom
Crystal system ... hexagonal

Structure (extended XYZ):
```
12
Lattice="-3.2587 -2.4264 1.3500 2.3805 -1.2695 -3.3243 9.8332 -7.6610 9.9671" Properties=species:S:1:pos:R:3 pbc="T T T"
Ge -0.1967 -2.9619 0.9903
Ge 9.1516 -8.3950 7.0025
Ge 2.3553 -4.9501 3.5770
Ge 6.5996 -6.4068 4.4157
Er 2.4583 -1.9152 2.4918
Er 7.3749 -5.7457 7.4753
Zn 6.9476 -8.5280 8.2319
Zn 3.9108 -4.3119 1.6903
Zn 5.0441 -7.0450 6.3024
Zn 2.0072 -2.8289 -0.2392
Pr 0.0000 0.0000 0.0000
Pr 4.9166 -3.8305 4.9835
```

A relaxed structure of HfTaCd2, computed with PBE.

## Properties
Final energy ... -5.41 eV/atom
Calculated formation energy ... 0.49 eV per atom
Crystal system ... cubic

Structure (extended XYZ):
```
4
Lattice="2.7397 -0.4081 4.0278 -1.2955 2.3503 4.0857 -1.6660 -2.5180 3.8444" Properties=species:S:1:pos:R:3 pbc="T T T"
Cd -0.0555 -0.1440 2.9895
Cd 0.0000 0.0000 0.0000
Hf -0.1109 -0.2879 5.9790
Ta -0.1664 -0.4319 8.9684
```

A relaxed structure of TmP2Ir8, computed with PBE.

## Properties
Final energy ... -8.26 eV/atom
Crystal system ... monoclinic

Structure (extended XYZ):
```
11
Lattice="-1.8849 1.3534 -5.7133 -3.0738 -2.2978 -4.8268 -4.0051 3.1251 7.4998" Properties=species:S:1:pos:R:3 pbc="T T T"
Ir -7.3872 2.0907 -1.2967
Ir -6.5971 1.2369 -3.7536
Ir -4.8814 1.5265 -0.2597
Ir -4.0825 0.6543 -2.7806
Ir -2.3668 0.9439 0.7133
Ir -1.5767 0.0901 -1.7435
Ir -3.3330 1.8595 3.1886
Ir -5.6309 0.3213 -6.2289
P -3.5164 2.4676 5.4473
P -5.4475 -0.2868 -8.4875
Tm -2.4794 -0.4722 -5.2700
```

A relaxed structure of HoSb, computed with PBE.

## Properties
Final energy ... -5.21 eV/atom
Crystal system ... hexagonal

Structure (extended XYZ):
```
2
Lattice="-3.2676 1.5197 -2.1987 -0.5281 -1.1881 4.0163 0.8847 3.6198 1.1871" Properties=species:S:1:pos:R:3 pbc="T T T"
Ho -1.6909 3.3320 0.7633
Sb -1.2201 0.6195 2.2414
```

A relaxed structure of Zr2AlW, computed with PBE.

## Properties
Final energy ... -8.39 eV/atom
Crystal system ... cubic

Structure (extended XYZ):
```
4
Lattice="0.0000 3.3484 3.3484 3.3484 0.0000 3.3484 3.3484 3.3484 0.0000" Properties=species:S:1:pos:R:3 pbc="T T T"
Zr 0.0000 0.0000 0.0000
Zr 5.0227 5.0227 5.0227
W 1.6742 1.6742 1.6742
Al 3.3484 3.3484 3.3484
```